Record 1
# TlBPS2

A PBEsol-optimized structure of TlBPS2 (SCAN, the Alexandria database).

abc: 5.0734 5.0734 5.0363
angles: 90.00 90.00 90.00
Closest atoms and distances in Å follow each position.
Fractional positions:
1 Tl 0.0000 0.0000 0.0000  2 P 2.52, 4 S 2.54
2 B 0.5000 0.5000 0.5000  8 S 3.57, 4 P 3.59
3 P 0.0000 0.0000 0.5000  2 Tl 2.52
4 S 0.0000 0.5000 0.0000  2 Tl 2.54
5 S 0.5000 0.0000 0.0000  2 Tl 2.54

## Properties
* E_form (uncorrected): 1907 meV/atom
* crystal system: tetragonal



Record 2
# ZnBP2S

A PBEsol-optimized structure of ZnBP2S (SCAN, the Alexandria database).

abc: 3.9892 3.9892 4.4151
angles: 90.00 90.00 90.00
Closest atoms and distances in Å follow each position.
Fractional positions:
1 Zn 0.0000 0.0000 0.0000  4 S 2.82, 8 P 2.98
2 B 0.5000 0.5000 0.5000  4 P 1.99, 2 S 2.21
3 P 0.0000 0.5000 0.5000  2 B 1.99
4 P 0.5000 0.0000 0.5000  2 B 1.99
5 S 0.5000 0.5000 0.0000  2 B 2.21

## Properties
* E_form (uncorrected): 916 meV/atom
* crystal system: tetragonal